A plane-wave DFT calculation with PBE with a Hubbard U was carried out for crystalline RbMnF3 at its relaxed geometry.

Values from the calculation:
mass density	3.63	Mg/m³
space-group type	Fd-3m, No. 227
VASP energy	-27.4	eV/f.u.

Cell: 7.9910 7.9910 7.9910 Å, 60.00 60.00 60.00°
Each line ends with the local moment (μB).
Sites, in units of the cell vectors:
Rb: 0.1250 0.6250 0.6250  0.00
Rb: 0.6250 0.1250 0.6250  0.00
Rb: 0.6250 0.6250 0.1250  0.00
Rb: 0.6250 0.6250 0.6250  0.00
Mn: 0.1250 0.1250 0.6250  4.70
Mn: 0.1250 0.1250 0.1250  4.70
Mn: 0.1250 0.6250 0.1250  4.70
Mn: 0.6250 0.1250 0.1250  4.70
F: 0.0510 0.4490 0.0510  0.04
F: 0.4490 0.0510 0.4490  0.04
F: 0.8010 0.8010 0.1990  0.04
F: 0.1990 0.1990 0.8010  0.04
F: 0.0510 0.4490 0.4490  0.04
F: 0.1990 0.8010 0.1990  0.04
F: 0.1990 0.8010 0.8010  0.04
F: 0.8010 0.1990 0.1990  0.04
F: 0.4490 0.0510 0.0510  0.04
F: 0.0510 0.0510 0.4490  0.04
F: 0.8010 0.1990 0.8010  0.04
F: 0.4490 0.4490 0.0510  0.04